1.
Computed, not measured: a PBEsol-optimized structure of Zn4Re at the meta-GGA SCAN level of DFT.

Lattice parameters (Å, degrees): 3.4561 3.4561 6.4244 105.60 105.60 90.00
Last column: nearest neighbours and their distance in Å.
Sites, in units of the cell vectors:
Re (0.0000, 0.0000, 0.0000)  8 Zn 2.70
Zn (0.7500, 0.2500, 0.5000)  8 Zn 2.44-2.51
Zn (0.4031, 0.4031, 0.8062)  5 Zn 2.30-2.51
Zn (0.5969, 0.5969, 0.1938)  5 Zn 2.30-2.51
Zn (0.2500, 0.7500, 0.5000)  8 Zn 2.44-2.51

Results
The calculation puts the total energy at -0.9011 Ha/atom. For the calculated volume, the calculation gives 14.19 Å³/atom. Its formation enthalpy at 0 K is 511 meV/atom.

2.
Computed, not measured: a PBEsol-optimized structure of SiSnW3 at the meta-GGA SCAN level of DFT.

Lattice parameters (Å, degrees): 4.4916 4.4916 4.4916 90.00 90.00 90.00
Last column: nearest neighbours and their distance in Å.
Sites, in units of the cell vectors:
Si (0.0000, 0.0000, 0.0000)  6 W 2.25
Sn (0.5000, 0.5000, 0.5000)  12 W 3.18
W (0.0000, 0.5000, 0.0000)  2 Si 2.25
W (0.0000, 0.0000, 0.5000)  2 Si 2.25
W (0.5000, 0.0000, 0.0000)  2 Si 2.25

Results
The calculation puts the total energy at -1.8243 Ha/atom. For the calculated volume, the calculation gives 18.12 Å³/atom. The calculation puts the uncorrected formation energy at 1357.1 meV/atom.

3.
Computed, not measured: a PBEsol-optimized structure of BaSnSb2Br at the meta-GGA SCAN level of DFT.

Lattice parameters (Å, degrees): 5.6182 5.6182 5.7799 90.00 90.00 90.00
Last column: nearest neighbours and their distance in Å.
Sites, in units of the cell vectors:
Sb (0.0000, 0.5000, 0.0000)  2 Br 2.81
Sb (0.5000, 0.0000, 0.0000)  2 Br 2.81
Ba (0.0000, 0.0000, 0.5000)  2 Br 2.89
Br (0.0000, 0.0000, 0.0000)  4 Sb 2.81, 2 Ba 2.89
Sn (0.5000, 0.5000, 0.5000)  4 Ba 3.97, 8 Sb 4.03

Results
The calculation puts the total energy at -1.2408 Ha/atom. For the calculated volume, the calculation gives 36.49 Å³/atom. The calculation puts the uncorrected formation energy at 125.6 meV/atom.

4.
Computed, not measured: a PBEsol-optimized structure of Li2Ni3TeO8 at the meta-GGA SCAN level of DFT.

Lattice parameters (Å, degrees): 5.7741 5.7741 9.4806 90.00 90.00 120.00
Last column: nearest neighbours and their distance in Å.
Sites, in units of the cell vectors:
Li (0.3333, 0.6667, 0.5890)  4 O 1.92-1.98
Li (0.0000, 0.0000, 0.5131)  4 O 1.83-1.93
Li (0.0000, 0.0000, 0.0131)  4 O 1.83-1.93
Li (0.6667, 0.3333, 0.0890)  4 O 1.92-1.98
Ni (0.1701, 0.8299, 0.2864)  6 O 1.86-2.04
Ni (0.6598, 0.8299, 0.2864)  6 O 1.86-2.04
Ni (0.1701, 0.3402, 0.2864)  6 O 1.86-2.04
Ni (0.8299, 0.6598, 0.7864)  6 O 1.86-2.04
Ni (0.3402, 0.1701, 0.7864)  6 O 1.86-2.04
Ni (0.8299, 0.1701, 0.7864)  6 O 1.86-2.04
Te (0.3333, 0.6667, 0.0152)  6 O 1.95-2.00
Te (0.6667, 0.3333, 0.5152)  6 O 1.95-2.00
O (0.1659, 0.8341, 0.9090)  1 Li 1.93, 1 Te 1.95, 2 Ni 2.04
O (0.4844, 0.9689, 0.1527)  1 Li 1.92, 1 Te 2.00, 2 Ni 2.02
O (0.3333, 0.6667, 0.3801)  3 Ni 1.86, 1 Li 1.98
O (0.0000, 0.0000, 0.2056)  1 Li 1.83, 3 Ni 1.87
O (0.0000, 0.0000, 0.7056)  1 Li 1.83, 3 Ni 1.87
O (0.6682, 0.8341, 0.9090)  1 Li 1.93, 1 Te 1.95, 2 Ni 2.04
O (0.0311, 0.5156, 0.1527)  1 Li 1.92, 1 Te 2.00, 2 Ni 2.02
O (0.4844, 0.5156, 0.1527)  1 Li 1.92, 1 Te 2.00, 2 Ni 2.02
O (0.8341, 0.6682, 0.4090)  1 Li 1.93, 1 Te 1.95, 2 Ni 2.04
O (0.1659, 0.3318, 0.9090)  1 Li 1.93, 1 Te 1.95, 2 Ni 2.04
O (0.5156, 0.4844, 0.6526)  1 Li 1.92, 1 Te 2.00, 2 Ni 2.02
O (0.9689, 0.4844, 0.6526)  1 Li 1.92, 1 Te 2.00, 2 Ni 2.02
O (0.6667, 0.3333, 0.8801)  3 Ni 1.86, 1 Li 1.98
O (0.3318, 0.1659, 0.4090)  1 Li 1.93, 1 Te 1.95, 2 Ni 2.04
O (0.5156, 0.0311, 0.6526)  1 Li 1.92, 1 Te 2.00, 2 Ni 2.02
O (0.8341, 0.1659, 0.4090)  1 Li 1.93, 1 Te 1.95, 2 Ni 2.04

Results
The calculation puts the total energy at -0.4240 Ha/atom. For the calculated volume, the calculation gives 9.78 Å³/atom. The calculation puts the uncorrected formation energy at -1510.1 meV/atom.

5.
Computed, not measured: a PBEsol-optimized structure of TmAsPt at the meta-GGA SCAN level of DFT.

Lattice parameters (Å, degrees): 4.2289 4.2289 7.4352 90.00 90.00 120.00
Last column: nearest neighbours and their distance in Å.
Sites, in units of the cell vectors:
As (0.6667, 0.3333, 0.2500)  3 Pt 2.44
As (0.3333, 0.6667, 0.7500)  3 Pt 2.44
Tm (0.0000, 0.0000, 0.5000)  6 Pt 3.07, 6 As 3.07
Tm (0.0000, 0.0000, 0.0000)  6 As 3.07, 6 Pt 3.07
Pt (0.3333, 0.6667, 0.2500)  3 As 2.44
Pt (0.6667, 0.3333, 0.7500)  3 As 2.44

Results
The calculation puts the total energy at -1.7933 Ha/atom. For the calculated volume, the calculation gives 19.19 Å³/atom. Its formation enthalpy at 0 K is -1393 meV/atom.

6.
Computed, not measured: a PBEsol-optimized structure of Hg2WBr at the meta-GGA SCAN level of DFT.

Lattice parameters (Å, degrees): 2.8535 2.8535 10.6147 90.00 90.00 90.00
Last column: nearest neighbours and their distance in Å.
Sites, in units of the cell vectors:
Br (0.5000, 0.5000, 0.5000)  4 Br 2.85
Hg (0.0000, 0.0000, 0.7974)  4 Hg 2.85, 4 W 2.95
Hg (0.0000, 0.0000, 0.2026)  4 Hg 2.85, 4 W 2.95
W (0.5000, 0.5000, 0.0000)  4 W 2.85, 8 Hg 2.95

Results
The calculation puts the total energy at -2.0422 Ha/atom. For the calculated volume, the calculation gives 21.61 Å³/atom. The calculation puts the uncorrected formation energy at 799.5 meV/atom.

7.
Computed, not measured: a PBEsol-optimized structure of CdIr2Os at the meta-GGA SCAN level of DFT.

Lattice parameters (Å, degrees): 2.7382 4.7542 4.8894 98.54 90.00 106.74
Last column: nearest neighbours and their distance in Å.
Sites, in units of the cell vectors:
Ir (0.7422, 0.4843, 0.7323)  6 Ir 2.67-2.94, 3 Os 2.69-2.76, 3 Cd 2.73-2.85
Ir (0.2578, 0.5157, 0.2677)  6 Ir 2.67-2.94, 3 Os 2.69-2.76, 3 Cd 2.73-2.85
Os (0.0000, 0.0000, 0.5000)  6 Ir 2.69-2.76, 2 Os 2.74, 4 Cd 2.80
Cd (0.5000, 0.0000, 0.0000)  6 Ir 2.73-2.85, 2 Cd 2.74, 4 Os 2.80

Results
The calculation puts the total energy at -2.2337 Ha/atom. For the calculated volume, the calculation gives 15.05 Å³/atom. Its formation enthalpy at 0 K is 340 meV/atom.

8.
Computed, not measured: a PBEsol-optimized structure of Zr2TeRh at the meta-GGA SCAN level of DFT.

Lattice parameters (Å, degrees): 4.3186 4.1770 4.1770 90.00 90.00 90.00
Last column: nearest neighbours and their distance in Å.
Sites, in units of the cell vectors:
Rh (0.5000, 0.5000, 0.5000)  4 Te 2.95, 8 Zr 3.00
Te (0.5000, 0.0000, 0.0000)  4 Rh 2.95, 8 Zr 3.00
Zr (0.0000, 0.0000, 0.5000)  4 Zr 2.95, 4 Te 3.00, 4 Rh 3.00
Zr (0.0000, 0.5000, 0.0000)  4 Zr 2.95, 4 Te 3.00, 4 Rh 3.00

Results
The calculation puts the total energy at -1.2375 Ha/atom. For the calculated volume, the calculation gives 18.84 Å³/atom. The calculation puts the uncorrected formation energy at -568.3 meV/atom.